DFT (meta-GGA SCAN) results for LaAlCl4 at its PBEsol-relaxed geometry.

Unit cell a=5.7940 b=5.7940 c=5.7940 alpha=60.00 beta=60.00 gamma=60.00
Sites, in units of the cell vectors:
Cl 0.3752 0.3752 0.3752
Cl 0.3752 0.3752 0.8744
Cl 0.8744 0.3752 0.3752
Cl 0.3752 0.8744 0.3752
Al 0.0000 0.0000 0.0000
La 0.7500 0.7500 0.7500

Results
Symmetry: No. 216
Raw formation energy (eV/f.u.): -3.45

---

DFT (meta-GGA SCAN) results for LiCa2Pd2 at its PBEsol-relaxed geometry.

Unit cell a=5.4918 b=5.5523 c=5.4918 alpha=60.36 beta=90.00 gamma=119.64
Sites, in units of the cell vectors:
Ca 0.7500 0.5000 0.7500
Ca 0.2500 0.5000 0.2500
Pd 0.6634 0.3267 0.3366
Pd 0.3366 0.6733 0.6634
Li 0.0000 0.0000 0.0000

Results
Excess energy over the best structure of this formula in the dataset (eV/atom): 0.183
Symmetry: No. 139
ΔH_f (0 K) (meV per atom): -383

---

DFT (meta-GGA SCAN) results for AgAu2 at its PBEsol-relaxed geometry.

Unit cell a=5.3718 b=5.3718 c=5.3718 alpha=60.00 beta=60.00 gamma=60.00
Sites, in units of the cell vectors:
Au 0.1250 0.1250 0.6250
Au 0.1250 0.6250 0.1250
Au 0.1250 0.1250 0.1250
Au 0.6250 0.1250 0.1250
Ag 0.7500 0.7500 0.7500
Ag 0.5000 0.5000 0.5000

Results
Excess energy over the best structure of this formula in the dataset (eV/atom): 0.094
Symmetry: No. 227
ΔH_f (0 K) (meV per atom): 20

---

DFT (meta-GGA SCAN) results for LaNi2 at its PBEsol-relaxed geometry.

Unit cell a=4.0424 b=4.0430 c=7.9188 alpha=90.03 beta=90.00 gamma=120.00
Sites, in units of the cell vectors:
La 0.0284 0.0568 0.0130
La 0.6948 0.3895 0.4316
Ni 0.3606 0.7212 0.7218
Ni 0.3618 0.7235 0.2221
Ni 0.0272 0.0544 0.6739
Ni 0.6940 0.3879 0.7709

Results
Symmetry: No. 8
ΔH_f (0 K) (meV per atom): -197

---

DFT (meta-GGA SCAN) results for Rb3PbCl5 at its PBEsol-relaxed geometry.

Unit cell a=8.2530 b=8.5460 c=15.6657 alpha=90.00 beta=90.00 gamma=90.00
Sites, in units of the cell vectors:
Cl 0.4763 0.7708 0.7500
Cl 0.9763 0.7292 0.2500
Cl 0.5237 0.2292 0.2500
Cl 0.0237 0.2708 0.7500
Cl 0.3257 0.4421 0.6161
Cl 0.8257 0.0579 0.3839
Cl 0.6743 0.5579 0.1161
Cl 0.1743 0.9421 0.8839
Cl 0.6743 0.5579 0.3839
Cl 0.1743 0.9421 0.6161
Cl 0.3257 0.4421 0.8839
Cl 0.8257 0.0579 0.1161
Cl 0.3731 0.8937 0.3758
Cl 0.8731 0.6063 0.6242
Cl 0.6269 0.1063 0.8758
Cl 0.1269 0.3937 0.1242
Cl 0.6269 0.1063 0.6242
Cl 0.1269 0.3937 0.3758
Cl 0.3731 0.8937 0.1242
Cl 0.8731 0.6063 0.8758
Pb 0.1460 0.5702 0.7500
Pb 0.6460 0.9298 0.2500
Pb 0.8540 0.4298 0.2500
Pb 0.3540 0.0702 0.7500
Rb 0.6414 0.4156 0.7500
Rb 0.1414 0.0844 0.2500
Rb 0.3586 0.5844 0.2500
Rb 0.8586 0.9156 0.7500
Rb 0.5274 0.7588 0.5475
Rb 0.0274 0.7412 0.4525
Rb 0.4726 0.2412 0.0475
Rb 0.9726 0.2588 0.9525
Rb 0.4726 0.2412 0.4525
Rb 0.9726 0.2588 0.5475
Rb 0.5274 0.7588 0.9525
Rb 0.0274 0.7412 0.0475

Results
Symmetry: No. 62
Raw formation energy (eV/f.u.): -16.95

---

DFT (meta-GGA SCAN) results for SrCo2Cu at its PBEsol-relaxed geometry.

Unit cell a=3.8610 b=3.8610 c=5.0570 alpha=112.44 beta=112.44 gamma=90.00
Sites, in units of the cell vectors:
Sr 0.0000 0.0000 0.0000
Co 0.7500 0.2500 0.5000
Co 0.2500 0.7500 0.5000
Cu 0.5000 0.5000 0.0000

Results
Excess energy over the best structure of this formula in the dataset (eV/atom): 0.665
Symmetry: No. 139
ΔH_f (0 K) (meV per atom): 824

---

DFT (meta-GGA SCAN) results for FeSbSeBr2 at its PBEsol-relaxed geometry.

Unit cell a=4.8921 b=4.7461 c=4.7461 alpha=90.00 beta=90.00 gamma=90.00
Sites, in units of the cell vectors:
Sb 0.5000 0.5000 0.5000
Se 0.5000 0.0000 0.0000
Br 0.0000 0.0000 0.5000
Br 0.0000 0.5000 0.0000
Fe 0.0000 0.0000 0.0000

Results
Symmetry: No. 123
Raw formation energy (eV/f.u.): 0.73

---

DFT (meta-GGA SCAN) results for K4ScCr at its PBEsol-relaxed geometry.

Unit cell a=7.1656 b=7.1656 c=7.1656 alpha=60.00 beta=60.00 gamma=60.00
Sites, in units of the cell vectors:
Cr 0.0000 0.0000 0.0000
K 0.3742 0.3742 0.3742
K 0.3742 0.3742 0.8775
K 0.8775 0.3742 0.3742
K 0.3742 0.8775 0.3742
Sc 0.7500 0.7500 0.7500

Results
Symmetry: No. 216
ΔH_f (0 K) (meV per atom): 894

---

DFT (meta-GGA SCAN) results for BePtNF2 at its PBEsol-relaxed geometry.

Unit cell a=3.0389 b=3.0389 c=6.4809 alpha=90.00 beta=90.00 gamma=90.00
Sites, in units of the cell vectors:
Be 0.0000 0.0000 0.0000
N 0.0000 0.0000 0.5000
Pt 0.5000 0.5000 0.5000
F 0.0000 0.5000 0.0000
F 0.5000 0.0000 0.0000

Results
Symmetry: No. 123
Raw formation energy (eV/f.u.): -5.54

---

DFT (meta-GGA SCAN) results for K2NiPt at its PBEsol-relaxed geometry.

Unit cell a=4.0019 b=4.0019 c=5.7334 alpha=110.43 beta=110.43 gamma=90.00
Sites, in units of the cell vectors:
K 0.7500 0.2500 0.5000
K 0.2500 0.7500 0.5000
Ni 0.5000 0.5000 0.0000
Pt 0.0000 0.0000 0.0000

Results
Excess energy over the best structure of this formula in the dataset (eV/atom): 0.000
Symmetry: No. 139
ΔH_f (0 K) (meV per atom): 523

---

DFT (meta-GGA SCAN) results for NbAl2ZnGe at its PBEsol-relaxed geometry.

Unit cell a=4.3943 b=4.3943 c=4.9436 alpha=90.00 beta=90.00 gamma=90.00
Sites, in units of the cell vectors:
Zn 0.0000 0.0000 0.0000
Nb 0.0000 0.0000 0.5000
Ge 0.5000 0.5000 0.5000
Al 0.0000 0.5000 0.0000
Al 0.5000 0.0000 0.0000

Results
Symmetry: No. 123
ΔH_f (0 K) (meV per atom): 698

---

DFT (meta-GGA SCAN) results for NaSbS3 at its PBEsol-relaxed geometry.

Unit cell a=5.0001 b=5.0001 c=5.0001 alpha=90.00 beta=90.00 gamma=90.00
Sites, in units of the cell vectors:
Sb 0.0000 0.0000 0.0000
S 0.0000 0.5000 0.0000
S 0.0000 0.0000 0.5000
S 0.5000 0.0000 0.0000
Na 0.5000 0.5000 0.5000

Results
Symmetry: No. 221
Raw formation energy (eV/f.u.): -0.60

---

DFT (meta-GGA SCAN) results for PSe2N2 at its PBEsol-relaxed geometry.

Unit cell a=3.6131 b=3.6131 c=6.5309 alpha=90.00 beta=90.00 gamma=90.00
Sites, in units of the cell vectors:
P 0.5000 0.5000 0.5000
Se 0.0000 0.0000 0.0000
Se 0.0000 0.0000 0.5000
N 0.0000 0.5000 0.0000
N 0.5000 0.0000 0.0000

Results
Symmetry: No. 123
Raw formation energy (eV/f.u.): 8.50

---

DFT (meta-GGA SCAN) results for DyYMg2 at its PBEsol-relaxed geometry.

Unit cell a=5.2977 b=5.2977 c=5.2977 alpha=60.00 beta=60.00 gamma=60.00
Sites, in units of the cell vectors:
Y 0.5000 0.5000 0.5000
Mg 0.7500 0.7500 0.7500
Mg 0.2500 0.2500 0.2500
Dy 0.0000 0.0000 0.0000

Results
Symmetry: No. 225
ΔH_f (0 K) (meV per atom): -94

---

DFT (meta-GGA SCAN) results for Ir2RuW at its PBEsol-relaxed geometry.

Unit cell a=2.7225 b=4.7124 c=4.7124 alpha=109.94 beta=90.00 gamma=90.00
Sites, in units of the cell vectors:
Ru 0.5000 0.0000 0.0000
Ir 0.0000 0.5000 0.0000
Ir 0.0000 0.0000 0.5000
W 0.5000 0.5000 0.5000

Results
Excess energy over the best structure of this formula in the dataset (eV/atom): 0.120
Symmetry: No. 65
ΔH_f (0 K) (meV per atom): -220

---

DFT (meta-GGA SCAN) results for LiCuAu3 at its PBEsol-relaxed geometry.

Unit cell a=4.7289 b=4.7289 c=4.7289 alpha=90.00 beta=90.00 gamma=90.00
Sites, in units of the cell vectors:
Au 0.0000 0.5000 0.0000
Au 0.0000 0.0000 0.5000
Au 0.5000 0.0000 0.0000
Cu 0.0000 0.0000 0.0000
Li 0.5000 0.5000 0.5000

Results
Symmetry: No. 221
ΔH_f (0 K) (meV per atom): 210

---

DFT (meta-GGA SCAN) results for Al2MoRuO at its PBEsol-relaxed geometry.

Unit cell a=4.5981 b=4.5981 c=4.6200 alpha=90.00 beta=90.00 gamma=90.00
Sites, in units of the cell vectors:
Ru 0.0000 0.0000 0.0000
Mo 0.0000 0.0000 0.5000
Al 0.0000 0.5000 0.0000
Al 0.5000 0.0000 0.0000
O 0.5000 0.5000 0.5000

Results
Symmetry: No. 123
Raw formation energy (eV/f.u.): 3.85

---

DFT (meta-GGA SCAN) results for BP3Se at its PBEsol-relaxed geometry.

Unit cell a=4.6717 b=4.6717 c=4.6717 alpha=90.00 beta=90.00 gamma=90.00
Sites, in units of the cell vectors:
P 0.0000 0.5000 0.0000
P 0.0000 0.0000 0.5000
P 0.5000 0.0000 0.0000
B 0.5000 0.5000 0.5000
Se 0.0000 0.0000 0.0000

Results
Symmetry: No. 221
Raw formation energy (eV/f.u.): 10.75

---

DFT (meta-GGA SCAN) results for Ba2HgC at its PBEsol-relaxed geometry.

Unit cell a=5.3946 b=5.3946 c=5.3946 alpha=60.00 beta=60.00 gamma=60.00
Sites, in units of the cell vectors:
C 0.0000 0.0000 0.0000
Hg 0.5000 0.5000 0.5000
Ba 0.2500 0.2500 0.2500
Ba 0.7500 0.7500 0.7500

Results
Symmetry: No. 225
ΔH_f (0 K) (meV per atom): 468

---

DFT (meta-GGA SCAN) results for Mg4Co at its PBEsol-relaxed geometry.

Unit cell a=3.0935 b=5.6556 c=5.6556 alpha=85.71 beta=74.13 gamma=74.13
Sites, in units of the cell vectors:
Mg 0.5751 0.1886 0.6611
Mg 0.7638 0.6611 0.8114
Mg 0.4249 0.8114 0.3389
Mg 0.2362 0.3389 0.1886
Co 0.0000 0.0000 0.0000

Results
Symmetry: No. 87
ΔH_f (0 K) (meV per atom): 50

---

DFT (meta-GGA SCAN) results for SmTlAu2 at its PBEsol-relaxed geometry.

Unit cell a=4.9643 b=4.9643 c=4.9643 alpha=60.00 beta=60.00 gamma=60.00
Sites, in units of the cell vectors:
Tl 0.5000 0.5000 0.5000
Au 0.2500 0.2500 0.2500
Au 0.7500 0.7500 0.7500
Sm 0.0000 0.0000 0.0000

Results
Symmetry: No. 225
ΔH_f (0 K) (meV per atom): -701

---

DFT (meta-GGA SCAN) results for NdGa3Pd at its PBEsol-relaxed geometry.

Unit cell a=4.1523 b=4.1523 c=6.0985 alpha=109.90 beta=109.90 gamma=90.00
Sites, in units of the cell vectors:
Nd 0.0000 0.0000 0.0000
Ga 0.3857 0.3857 0.7714
Ga 0.6143 0.6143 0.2286
Ga 0.2500 0.7500 0.5000
Pd 0.7500 0.2500 0.5000

Results
Symmetry: No. 119
ΔH_f (0 K) (meV per atom): -798

---

DFT (meta-GGA SCAN) results for LiAsOs3 at its PBEsol-relaxed geometry.

Unit cell a=4.1039 b=4.1039 c=4.1039 alpha=90.00 beta=90.00 gamma=90.00
Sites, in units of the cell vectors:
As 0.5000 0.5000 0.5000
Os 0.0000 0.5000 0.0000
Os 0.0000 0.0000 0.5000
Os 0.5000 0.0000 0.0000
Li 0.0000 0.0000 0.0000

Results
Symmetry: No. 221
ΔH_f (0 K) (meV per atom): 1573

---

DFT (meta-GGA SCAN) results for WS2O9 at its PBEsol-relaxed geometry.

Unit cell a=7.7076 b=7.9235 c=12.2382 alpha=90.00 beta=90.00 gamma=107.88
Sites, in units of the cell vectors:
W 0.5684 0.7358 0.6474
W 0.0684 0.2358 0.8526
W 0.4316 0.2642 0.3526
W 0.9316 0.7642 0.1474
S 0.9329 0.8963 0.6816
S 0.4329 0.3963 0.8184
S 0.0671 0.1037 0.3184
S 0.5671 0.6037 0.1816
S 0.3336 0.6384 0.4739
S 0.8336 0.1384 0.0261
S 0.6664 0.3616 0.5261
S 0.1664 0.8616 0.9739
O 0.5051 0.9093 0.6938
O 0.0051 0.4093 0.8062
O 0.4949 0.0907 0.3062
O 0.9949 0.5907 0.1938
O 0.0945 0.8502 0.6678
O 0.5945 0.3502 0.8322
O 0.9055 0.1498 0.3322
O 0.4055 0.6498 0.1678
O 0.9640 0.0829 0.7228
O 0.4640 0.5829 0.7772
O 0.0360 0.9171 0.2772
O 0.5360 0.4171 0.2228
O 0.8144 0.8836 0.5798
O 0.3144 0.3836 0.9202
O 0.1856 0.1164 0.4202
O 0.6856 0.6164 0.0798
O 0.7866 0.7711 0.7534
O 0.2866 0.2711 0.7466
O 0.2134 0.2289 0.2466
O 0.7134 0.7289 0.2534
O 0.2006 0.7166 0.4396
O 0.7006 0.2166 0.0604
O 0.7994 0.2834 0.5604
O 0.2994 0.7834 0.9396
O 0.3444 0.4896 0.4050
O 0.8444 0.9896 0.0950
O 0.6556 0.5104 0.5950
O 0.1556 0.0104 0.9050
O 0.3178 0.5794 0.5948
O 0.8178 0.0794 0.9052
O 0.6822 0.4206 0.4052
O 0.1822 0.9206 0.0948
O 0.5284 0.7705 0.4854
O 0.0284 0.2705 0.0146
O 0.4716 0.2295 0.5146
O 0.9716 0.7295 0.9854

Results
Symmetry: No. 14
Raw formation energy (eV/f.u.): -19.34

---

DFT (meta-GGA SCAN) results for In2RePPt at its PBEsol-relaxed geometry.

Unit cell a=4.3632 b=5.1284 c=5.1284 alpha=90.00 beta=90.00 gamma=90.00
Sites, in units of the cell vectors:
Re 0.0000 0.0000 0.0000
P 0.5000 0.0000 0.0000
Pt 0.5000 0.5000 0.5000
In 0.0000 0.0000 0.5000
In 0.0000 0.5000 0.0000

Results
Symmetry: No. 123
ΔH_f (0 K) (meV per atom): 697